(1)
Material: NaF
Method: DFT, PBEsol
State: relaxed

a b c (Å): 3.2664 3.2664 3.2664
angles (deg): 60.00 60.00 60.00
With the nearest neighbours (Å) after each atom.
Positions (direct):
Na: 0.0000 0.0000 0.0000  6 F 2.31
F: 0.5000 0.5000 0.5000  6 Na 2.31

Values from the calculation:
**Total energy**: -8.767 eV/cell
**Calculated density**: 2.8 g/cm³
**Formation energy without anion corrections**: -2.72 eV/atom

---

(2)
Material: Ba3LiTa
Method: DFT, PBEsol
State: relaxed

a b c (Å): 6.0979 6.0979 6.0979
angles (deg): 90.00 90.00 90.00
With the nearest neighbours (Å) after each atom.
Positions (direct):
Ba: 0.0000 0.0000 0.5000  2 Ta 3.05
Ba: 0.0000 0.5000 0.0000  2 Ta 3.05
Ba: 0.5000 0.0000 0.0000  2 Ta 3.05
Li: 0.5000 0.5000 0.5000  12 Ba 4.31
Ta: 0.0000 0.0000 0.0000  6 Ba 3.05

Values from the calculation:
**Formation enthalpy at 0 K**: 855 meV per atom
**Total energy**: -16.688 eV/cell
**Calculated density**: 4.4 g/cm³

---

(3)
Material: Sc3HgO
Method: DFT, PBEsol
State: relaxed

a b c (Å): 4.3666 4.3666 4.3666
angles (deg): 90.00 90.00 90.00
With the nearest neighbours (Å) after each atom.
Positions (direct):
Sc: 0.0000 0.0000 0.5000  2 O 2.18
Sc: 0.0000 0.5000 0.0000  2 O 2.18
Sc: 0.5000 0.0000 0.0000  2 O 2.18
Hg: 0.5000 0.5000 0.5000  12 Sc 3.09
O: 0.0000 0.0000 0.0000  6 Sc 2.18

Values from the calculation:
**Total energy**: -33.660 eV/cell
**Calculated density**: 7.0 g/cm³
**Formation energy without anion corrections**: -1.61 eV/atom

---

(4)
Material: HgIrSe2
Method: DFT, PBEsol
State: relaxed

a b c (Å): 3.6960 3.6960 7.5140
angles (deg): 104.33 104.33 59.92
With the nearest neighbours (Å) after each atom.
Positions (direct):
Hg: 0.0000 0.0000 0.0000  6 Se 3.15-3.16
Ir: 0.5000 0.5000 0.5000  6 Se 2.49
Se: 0.2267 0.2267 0.6780  3 Ir 2.49
Se: 0.7733 0.7733 0.3220  3 Ir 2.49

Values from the calculation:
**Total energy**: -18.763 eV/cell
**Calculated density**: 10.7 g/cm³
**Formation energy without anion corrections**: -0.17 eV/atom

---

(5)
Material: CdCu2Mo
Method: DFT, PBEsol
State: relaxed

a b c (Å): 2.6751 3.7067 5.8119
angles (deg): 90.00 90.00 90.00
With the nearest neighbours (Å) after each atom.
Positions (direct):
Cd: 0.0000 0.0000 0.0000  2 Cd 2.68, 8 Cu 2.78, 2 Mo 2.91
Cu: 0.5000 0.5000 0.2732  3 Cu 2.64-2.68, 4 Mo 2.64, 4 Cd 2.78
Cu: 0.5000 0.5000 0.7268  3 Cu 2.64-2.68, 4 Mo 2.64, 4 Cd 2.78
Mo: 0.0000 0.0000 0.5000  8 Cu 2.64, 2 Mo 2.68, 2 Cd 2.91

Values from the calculation:
**Formation enthalpy at 0 K**: 294 meV per atom
**Total energy**: -20.456 eV/cell
**Calculated density**: 9.7 g/cm³

---

(6)
Material: K2LaBr
Method: DFT, PBEsol
State: relaxed

a b c (Å): 7.8389 7.8389 7.8389
angles (deg): 145.58 145.58 49.47
With the nearest neighbours (Å) after each atom.
Positions (direct):
K: 0.2500 0.7500 0.5000  4 K 3.28
K: 0.7500 0.2500 0.5000  4 K 3.28
La: 0.0000 0.0000 0.0000  4 Br 3.28
Br: 0.5000 0.5000 0.0000  4 La 3.28

Values from the calculation:
**Total energy**: -10.041 eV/cell
**Calculated density**: 3.2 g/cm³
**Distance to the lowest polymorph of the same formula**: 0.4089 eV per atom
**Formation energy without anion corrections**: -0.14 eV/atom

---

(7)
Material: Zr2PRu
Method: DFT, PBEsol
State: relaxed

a b c (Å): 3.2173 3.2970 6.4437
angles (deg): 90.00 97.94 90.00
With the nearest neighbours (Å) after each atom.
Positions (direct):
Zr: 0.0380 0.0000 0.2549  2 P 2.60, 4 Ru 2.76-2.88
Zr: 0.9620 0.0000 0.7451  2 P 2.60, 4 Ru 2.76-2.88
P: 0.5000 0.5000 0.5000  4 Zr 2.60
Ru: 0.5000 0.5000 0.0000  8 Zr 2.76-2.88

Values from the calculation:
**Formation enthalpy at 0 K**: -728 meV per atom
**Total energy**: -37.056 eV/cell
**Calculated density**: 7.7 g/cm³

---

(8)
Material: SrAs2PBr
Method: DFT, PBEsol
State: relaxed

a b c (Å): 5.8756 5.8756 5.5373
angles (deg): 90.00 90.00 90.00
With the nearest neighbours (Å) after each atom.
Positions (direct):
Sr: 0.0000 0.0000 0.0000  2 Br 2.77, 4 As 2.94
As: 0.0000 0.5000 0.0000  2 Sr 2.94
As: 0.5000 0.0000 0.0000  2 Sr 2.94
P: 0.5000 0.5000 0.5000  8 As 4.04, 4 Br 4.15
Br: 0.0000 0.0000 0.5000  2 Sr 2.77

Values from the calculation:
**Total energy**: -14.698 eV/cell
**Calculated density**: 3.0 g/cm³
**Formation energy without anion corrections**: 1.00 eV/atom